[1]
Computed, not measured: UInTcOs after structural relaxation at the PBE-GGA level of DFT.

As for the total energy: -141.2 eV per cell. Its crystal system is cubic. For the magnetic moment, the calculation gives 2.81 μB/cell. The formation enthalpy at 0 K comes out at 1.910 kcal/mol of atoms.

a = 6.649 Å, b = 6.649 Å, c = 6.649 Å
α = 90.00°, β = 90.00°, γ = 90.00°
Space group F-43m (No. 216)
Inequivalent atoms, fractional coordinates:
U: 0.000 0.000 0.000
In: 0.000 0.000 0.500
Tc: 0.250 0.250 0.750
Os: 0.250 0.250 0.250

[2]
Computed, not measured: InTe2Os after structural relaxation at the PBE-GGA level of DFT.

As for the total energy: -52.9 eV per cell. For the formation energy (no corrections), the calculation gives 655 meV/atom. Its crystal system is trigonal. For the magnetic moment, the calculation gives 0.00 μB/cell.

a = 3.1405 Å, b = 3.1405 Å, c = 34.8341 Å
α = 90.00°, β = 90.00°, γ = 120.00°
Space group R-3m (No. 166, hexagonal axes)
Inequivalent atoms, fractional coordinates:
In: 0.0000 0.0000 0.0000
Te: 0.0000 0.0000 0.4266
Os: 0.0000 0.0000 0.5000

[3]
Computed, not measured: InTe2Os after structural relaxation at the PBE-GGA level of DFT.

As for the total energy: -39.8 eV per cell. For the formation energy (no corrections), the calculation gives 92 meV/atom. Its crystal system is orthorhombic. For the magnetic moment, the calculation gives 0.00 μB/cell.

a = 5.313 Å, b = 10.136 Å, c = 4.065 Å
α = 90.00°, β = 90.00°, γ = 90.00°
Space group Cmmm (No. 65)
Inequivalent atoms, fractional coordinates:
In: 0.000 0.000 0.000
Te: 0.000 0.332 0.500
Os: 0.000 0.500 0.000

[4]
Computed, not measured: InTe2Os after structural relaxation at the PBE-GGA level of DFT.

As for the total energy: -34.7 eV per cell. For the formation energy (no corrections), the calculation gives 724 meV/atom. Its crystal system is monoclinic. For the magnetic moment, the calculation gives 0.00 μB/cell.

a = 5.992 Å, b = 8.094 Å, c = 5.007 Å
α = 90.00°, β = 126.57°, γ = 90.00°
Space group C2/m (No. 12)
Inequivalent atoms, fractional coordinates:
In: 0.000 0.000 0.000
Te: 0.250 0.250 0.500
Os: 0.000 0.500 0.000

[5]
Computed, not measured: InTe2Os after structural relaxation at the PBE-GGA level of DFT.

As for the total energy: -16.6 eV per cell. For the formation energy (no corrections), the calculation gives 905 meV/atom. Its crystal system is orthorhombic. For the magnetic moment, the calculation gives 0.00 μB/cell.

a = 3.366 Å, b = 5.123 Å, c = 5.162 Å
α = 90.00°, β = 90.00°, γ = 90.00°
Space group Pmmm (No. 47)
Inequivalent atoms, fractional coordinates:
In: 0.000 0.000 0.000
Te: 0.000 0.500 0.500
Te: 0.500 0.500 0.000
Os: 0.500 0.000 0.500

[6]
Computed, not measured: In2TeOs after structural relaxation at the PBE-GGA level of DFT.

As for the total energy: -34.3 eV per cell. For the formation energy (no corrections), the calculation gives 677 meV/atom. Its crystal system is tetragonal. For the magnetic moment, the calculation gives 0.00 μB/cell.

a = 4.385 Å, b = 4.385 Å, c = 8.773 Å
α = 90.00°, β = 90.00°, γ = 90.00°
Space group I4/mmm (No. 139)
Inequivalent atoms, fractional coordinates:
In: 0.000 0.500 0.250
Te: 0.000 0.000 0.000
Os: 0.000 0.000 0.500

[7]
Computed, not measured: In2TeOs after structural relaxation at the PBE-GGA level of DFT.

As for the total energy: -68.2 eV per cell. For the formation energy (no corrections), the calculation gives 698 meV/atom. Its crystal system is cubic. For the magnetic moment, the calculation gives 0.00 μB/cell.

a = 6.988 Å, b = 6.988 Å, c = 6.988 Å
α = 90.00°, β = 90.00°, γ = 90.00°
Space group F-43m (No. 216)
Inequivalent atoms, fractional coordinates:
In: 0.000 0.000 0.000
In: 0.250 0.250 0.250
Te: 0.000 0.000 0.500
Os: 0.250 0.250 0.750

[8]
Computed, not measured: InTe2Os after structural relaxation at the PBE-GGA level of DFT.

As for the total energy: -76.0 eV per cell. For the formation energy (no corrections), the calculation gives 316 meV/atom. Its crystal system is tetragonal. For the magnetic moment, the calculation gives 0.00 μB/cell.

a = 7.964 Å, b = 7.964 Å, c = 7.331 Å
α = 90.00°, β = 90.00°, γ = 90.00°
Space group I-42d (No. 122)
Inequivalent atoms, fractional coordinates:
In: 0.000 0.000 0.000
Te: 0.165 0.250 0.625
Os: 0.000 0.000 0.500

Number 1: calculated volume 18.38 A^3/atom. Number 2: calculated volume 24.79 A^3/atom. Number 3: calculated volume 27.36 A^3/atom. Number 4: calculated volume 24.38 A^3/atom. Number 5: calculated volume 22.25 A^3/atom. Number 6: calculated volume 21.09 A^3/atom. Number 7: calculated volume 21.32 A^3/atom. Number 8: calculated volume 29.06 A^3/atom.